[1]
# Au3SI | the Alexandria database | PBE | optimized geometry
# Crystal system: cubic
# Uncorrected formation energy in eV per atom: 1.126
data_Au3SI
_cell_length_a 5.306
_cell_length_b 5.306
_cell_length_c 5.306
_cell_angle_alpha 90.00
_cell_angle_beta 90.00
_cell_angle_gamma 90.00
_space_group_name_H-M_alt 'P m -3 m'
_space_group_IT_number 221
_space_group_name_Hall '-P 4 2 3'
loop_
_atom_site_label
_atom_site_fract_x
_atom_site_fract_y
_atom_site_fract_z
_atom_site_occupancy
Au1 0.000 0.000 0.500 1
S1 0.500 0.500 0.500 1
I1 0.000 0.000 0.000 1


[2]
# AuSI2 | the Alexandria database | PBE | optimized geometry
# Crystal system: tetragonal
# Uncorrected formation energy in eV per atom: 0.521
# Polymorph energy (0 for the lowest one) in eV/atom: 0.000
data_AuSI2
_cell_length_a 5.671
_cell_length_b 5.671
_cell_length_c 16.405
_cell_angle_alpha 90.00
_cell_angle_beta 90.00
_cell_angle_gamma 90.00
_space_group_name_H-M_alt 'I -4 2 d'
_space_group_IT_number 122
_space_group_name_Hall 'I -4 2bw'
loop_
_atom_site_label
_atom_site_fract_x
_atom_site_fract_y
_atom_site_fract_z
_atom_site_occupancy
Au1 0.000 0.000 0.000 1
S1 0.000 0.000 0.500 1
I1 0.236 0.250 0.625 1


[3]
# AuSI3 | the Alexandria database | PBE | optimized geometry
# Crystal system: triclinic
# Uncorrected formation energy in eV per atom: 0.053
# Polymorph energy (0 for the lowest one) in eV/atom: 0.000
data_AuSI3
_cell_length_a 7.273
_cell_length_b 8.633
_cell_length_c 8.764
_cell_angle_alpha 113.86
_cell_angle_beta 112.96
_cell_angle_gamma 92.80
_space_group_name_H-M_alt 'P 1'
_space_group_IT_number 1
_space_group_name_Hall 'P 1'
loop_
_atom_site_label
_atom_site_fract_x
_atom_site_fract_y
_atom_site_fract_z
_atom_site_occupancy
Au1 0.000 0.000 0.000 1
Au2 0.009 0.277 0.728 1
S1 0.146 0.695 0.437 1
S2 0.867 0.573 0.283 1
I1 0.251 0.958 0.291 1
I2 0.278 0.524 0.747 1
I3 0.284 0.247 0.028 1
I4 0.725 0.031 0.701 1
I5 0.732 0.752 0.981 1
I6 0.759 0.319 0.436 1


The records above yield uncorrected energy values of -0.0726 -0.0774 -0.0866 Ha/atom, respectively.